Density functional theory data (PBE) for crystalline BaVGaPt2 at its relaxed geometry.

Cell: 5.3901 5.3901 5.5516 Å, 90.00 90.00 90.00°
With the nearest neighbours (Å) after each atom.
Space group P4/mmm (No. 123)
Symmetry-distinct sites (fractional):
Ba1 0.0000 0.0000 0.0000 [1 per cell]  4 Pt 2.70, 2 Ga 2.78
V1 0.5000 0.5000 0.5000 [1 per cell]  4 Ga 3.81, 8 Pt 3.87
Ga1 0.0000 0.0000 0.5000 [1 per cell]  2 Ba 2.78
Pt1 0.0000 0.5000 0.0000 [2 per cell]  2 Ba 2.70

Values from the calculation:
Energy ... -3.350 eV per atom
Crystal system ... tetragonal
Formation enthalpy at 0 K ... 9.40 eV/f.u.
M_tot ... 0.17 Bohr magnetons per cell
DOS(E_F) ... 5.51 states/eV/f.u.